NiBF3 | GGA+U | relaxed

a = 3.9681 Å, b = 3.9681 Å, c = 3.9681 Å
α = 90.00°, β = 90.00°, γ = 90.00°
With the nearest neighbours (Å) after each atom.
Space group Pm-3m (No. 221)
Symmetry-distinct sites (fractional):
Ni 0.0000 0.0000 0.0000 x1  6 F 1.98
B 0.5000 0.5000 0.5000 x1  12 F 2.81
F 0.0000 0.0000 0.5000 x3  2 Ni 1.98

## Properties
Size of the total moment in μB per atom: 0.400
Total energy in eV for the cell shown: -18.92
Theoretical density in Mg/m³: 3.4
Volume in Å³/cell: 62.5